Entry 1:
Ga3BrF: optimized geometry, PBE.

a = 4.9688 Å, b = 4.9688 Å, c = 4.9688 Å
α = 90.00°, β = 90.00°, γ = 90.00°
Closest atoms and distances in Å follow each position.
Space group Pm-3m (No. 221)
Unique sites:
1 Ga 0.0000 0.0000 0.5000  2 F 2.48
2 Br 0.5000 0.5000 0.5000  12 Ga 3.51
3 F 0.0000 0.0000 0.0000  6 Ga 2.48

Entry 2:
GaBr3F: optimized geometry, PBE.

a = 5.0435 Å, b = 5.0435 Å, c = 5.0435 Å
α = 90.00°, β = 90.00°, γ = 90.00°
Closest atoms and distances in Å follow each position.
Space group Pm-3m (No. 221)
Unique sites:
1 Ga 0.0000 0.0000 0.0000  12 Br 3.57
2 Br 0.0000 0.5000 0.5000  2 F 2.52
3 F 0.5000 0.5000 0.5000  6 Br 2.52

Entry 3:
Ga2BrF: optimized geometry, PBE.

a = 7.1084 Å, b = 7.1084 Å, c = 7.1084 Å
α = 90.00°, β = 90.00°, γ = 90.00°
Closest atoms and distances in Å follow each position.
Space group Fm-3m (No. 225)
Unique sites:
1 Ga 0.2500 0.2500 0.2500  4 F 3.08, 4 Br 3.08
2 Br 0.0000 0.0000 0.0000  8 Ga 3.08
3 F 0.0000 0.0000 0.5000  8 Ga 3.08

Entry 4:
Ga2BrF: optimized geometry, PBE.

a = 5.5125 Å, b = 5.5125 Å, c = 13.1276 Å
α = 90.00°, β = 90.00°, γ = 120.00°
Closest atoms and distances in Å follow each position.
Space group R-3m (No. 166, hexagonal axes)
Unique sites:
1 Ga 0.0000 0.0000 0.1533  1 F 2.01
2 Br 0.0000 0.0000 0.5000  6 Ga 3.19
3 F 0.0000 0.0000 0.0000  2 Ga 2.01

Number 1: formation energy without anion corrections -532 meV per atom, raw total energy -15.3 eV/f.u., magnetic moment 0.000 μB/f.u.. Number 2: formation energy without anion corrections 23 meV per atom, raw total energy -9.8 eV/f.u., magnetic moment 0.000 μB/f.u.. Number 3: formation energy without anion corrections -796 meV per atom, raw total energy -12.8 eV/f.u., magnetic moment 0.000 μB/f.u.. Number 4: formation energy without anion corrections -1004 meV per atom, raw total energy -13.6 eV/f.u., magnetic moment 0.000 μB/f.u..